Here is an optimized crystal structure of BaTh2Cl11 from Alexandria via LeMat-Bulk. Energies are from PBE-GGA.

a b c (Å): 10.601 11.200 11.200
angles (deg): 73.61 61.76 61.76
Fractional positions:
Cl (0.000, 0.000, 0.000)
Cl (0.107, 0.553, 0.708)
Cl (0.027, 0.180, 0.546)
Cl (0.973, 0.820, 0.454)
Cl (0.393, 0.792, 0.947)
Cl (0.473, 0.954, 0.320)
Cl (0.621, 0.288, 0.712)
Cl (0.753, 0.454, 0.820)
Cl (0.879, 0.788, 0.212)
Th (0.855, 0.185, 0.815)
Cl (0.893, 0.447, 0.292)
Th (0.145, 0.815, 0.185)
Cl (0.747, 0.680, 0.046)
Ba (0.750, 0.750, 0.750)
Ba (0.250, 0.250, 0.250)
Cl (0.527, 0.046, 0.680)
Cl (0.368, 0.292, 0.447)
Th (0.355, 0.315, 0.685)
Cl (0.132, 0.053, 0.208)
Cl (0.379, 0.712, 0.288)
Cl (0.632, 0.708, 0.553)
Th (0.645, 0.685, 0.315)
Cl (0.247, 0.546, 0.180)
Cl (0.500, 0.500, 0.500)
Cl (0.121, 0.212, 0.788)
Cl (0.253, 0.320, 0.954)
Cl (0.868, 0.947, 0.792)
Cl (0.607, 0.208, 0.053)

Computed properties:
- ρ: 3.20 Mg/m³
- Formation energy without anion corrections: -2688 kJ/mol of formula units
- Crystal system: orthorhombic